Entry 1:
VASP calculation (GGA-PBE) on a relaxed V4Ni3RuPt12 crystal.

a b c (Å): 7.8326 7.8326 7.8326
angles (deg): 109.47 109.47 109.47
Atoms (fractional coordinates):
Pt (0.4191, 0.2715, 0.1477)
Pt (0.1477, 0.4191, 0.2715)
Pt (0.8762, 0.7285, 0.1477)
Pt (0.7285, 0.8523, 0.5809)
Pt (0.1477, 0.8762, 0.7285)
Pt (0.1238, 0.2715, 0.8523)
Pt (0.7285, 0.1477, 0.8762)
Pt (0.8523, 0.1238, 0.2715)
Pt (0.2715, 0.1477, 0.4191)
Pt (0.2715, 0.8523, 0.1238)
Pt (0.5809, 0.7285, 0.8523)
Pt (0.8523, 0.5809, 0.7285)
Ni (0.5000, 0.0000, 0.5000)
Ni (0.5000, 0.5000, 0.0000)
Ni (0.0000, 0.5000, 0.5000)
V (0.5000, 0.5000, 0.5000)
V (0.0000, 0.0000, 0.5000)
V (0.0000, 0.5000, 0.0000)
V (0.5000, 0.0000, 0.0000)
Ru (0.0000, 0.0000, 0.0000)

Computed properties:
The space group is Im-3. The calculated density is 12.67 g/cm³. The calculation puts the energy of formation from the pure elements at 0.41 eV/atom. The calculation puts the volume at 18.50 Å³ per atom.

Entry 2:
VASP calculation (GGA-PBE) on a relaxed CaCuSi2 crystal.

a b c (Å): 6.0905 6.0905 6.0905
angles (deg): 145.09 142.11 52.46
Atoms (fractional coordinates):
Si (0.9080, 0.9080, 0.0000)
Si (0.7642, 0.2642, 0.5000)
Ca (0.5375, 0.5375, 0.0000)
Cu (0.2904, 0.7904, 0.5000)

Computed properties:
The space group is Imm2. The calculated density is 3.36 g/cm³. The calculation puts the volume at 19.73 Å³ per atom. As for the uncorrected formation energy: -151 meV/atom.

Entry 3:
VASP calculation (GGA-PBE) on a relaxed Na2InBr3 crystal.

a b c (Å): 7.6097 8.1179 8.1179
angles (deg): 87.90 90.00 90.00
Atoms (fractional coordinates):
Na (0.0000, 0.1657, 0.1657)
Na (0.5000, 0.1657, 0.1657)
Na (0.0000, 0.8343, 0.8343)
Na (0.5000, 0.8343, 0.8343)
Br (0.2500, 0.9217, 0.0783)
Br (0.7500, 0.0783, 0.9217)
Br (0.2500, 0.4171, 0.2399)
Br (0.7500, 0.5829, 0.7601)
Br (0.7500, 0.2399, 0.4171)
Br (0.2500, 0.7601, 0.5829)
In (0.7500, 0.5999, 0.4001)
In (0.2500, 0.4001, 0.5999)

Computed properties:
The space group is Cmcm. The calculated density is 2.65 g/cm³. The calculation puts the volume at 41.76 Å³ per atom. For the polymorph energy (0 for the lowest one), the calculation gives 93 meV per atom. As for the uncorrected formation energy: -1139 meV/atom.

Entry 4:
VASP calculation (GGA-PBE) on a relaxed LiCa2H6Os crystal.

a b c (Å): 5.0764 5.0745 5.0745
angles (deg): 120.00 90.00 90.00
Atoms (fractional coordinates):
H (0.7922, 0.1590, 0.8410)
H (0.2078, 0.3179, 0.1590)
H (0.2078, 0.8410, 0.1590)
H (0.2078, 0.8410, 0.6821)
H (0.7922, 0.1590, 0.3179)
H (0.7922, 0.6821, 0.8410)
Ca (0.8022, 0.6667, 0.3333)
Ca (0.1978, 0.3333, 0.6667)
Li (0.5000, 0.0000, 0.0000)
Os (0.0000, 0.0000, 0.0000)

Computed properties:
The space group is P-3m1. As for the uncorrected energy: -4.174 eV/atom. The calculated density is 4.16 g/cm³. The calculation puts the volume at 11.32 Å³ per atom.

Entry 5:
VASP calculation (GGA-PBE) on a relaxed LiHfZrRh crystal.

a b c (Å): 4.6514 4.6514 4.6514
angles (deg): 60.00 60.00 60.00
Atoms (fractional coordinates):
Li (0.0000, 0.0000, 0.0000)
Hf (0.2500, 0.2500, 0.2500)
Zr (0.7500, 0.7500, 0.7500)
Rh (0.5000, 0.5000, 0.5000)

Computed properties:
The space group is F-43m. The calculated density is 8.86 g/cm³. The calculation puts the energy of formation from the pure elements at -0.34 eV/atom. The calculation puts the volume at 17.79 Å³ per atom.

Entry 6:
VASP calculation (GGA-PBE) on a relaxed SiBS2Cl crystal.

a b c (Å): 4.5009 4.5009 4.8232
angles (deg): 90.00 90.00 90.00
Atoms (fractional coordinates):
S (0.5000, 0.0000, 0.0000)
S (0.0000, 0.5000, 0.0000)
Cl (0.0000, 0.0000, 0.5000)
Si (0.0000, 0.0000, 0.0000)
B (0.5000, 0.5000, 0.5000)

Computed properties:
The space group is P4/mmm. The calculated density is 2.35 g/cm³. The calculation puts the volume at 19.54 Å³ per atom. For the polymorph energy (0 for the lowest one), the calculation gives 240 meV per atom. As for the uncorrected formation energy: 885 meV/atom.

Entry 7:
VASP calculation (GGA-PBE) on a relaxed DyGe2Pd3 crystal.

a b c (Å): 4.0414 8.6317 9.9893
angles (deg): 107.82 90.00 103.54
Atoms (fractional coordinates):
Ge (0.1973, 0.3946, 0.1309)
Ge (0.8027, 0.6054, 0.8691)
Ge (0.6370, 0.2739, 0.4548)
Ge (0.4596, 0.9192, 0.2161)
Ge (0.5404, 0.0808, 0.7839)
Ge (0.3630, 0.7261, 0.5452)
Pd (0.6182, 0.2363, 0.1943)
Pd (0.3187, 0.6374, 0.0372)
Pd (0.7817, 0.5634, 0.6087)
Pd (0.5000, 0.0000, 0.5000)
Pd (0.0401, 0.0803, 0.3302)
Pd (0.3818, 0.7637, 0.8057)
Pd (0.2183, 0.4366, 0.3913)
Pd (0.6813, 0.3626, 0.9628)
Pd (0.9599, 0.9197, 0.6698)
Dy (0.8460, 0.6920, 0.3038)
Dy (0.0000, 0.0000, 0.0000)
Dy (0.1540, 0.3080, 0.6962)

Computed properties:
The space group is C2/m. The calculated density is 9.71 g/cm³. The calculation puts the energy of formation from the pure elements at -0.78 eV/atom. The calculation puts the volume at 17.86 Å³ per atom.

Entry 8:
VASP calculation (GGA-PBE) on a relaxed CeBi2Pd8 crystal.

a b c (Å): 5.1853 5.0940 7.7467
angles (deg): 95.85 92.17 98.80
Each line ends with the local moment (μB).
Atoms (fractional coordinates):
Pd (0.5720, 0.5408, 0.1815)  -0.01
Pd (0.0388, 0.2716, 0.0924)  0.00
Pd (0.7603, 0.6323, 0.5466)  0.00
Pd (0.9612, 0.7284, 0.9076)  0.00
Pd (0.4280, 0.4592, 0.8185)  -0.01
Pd (0.6605, 0.0954, 0.3575)  -0.01
Pd (0.2397, 0.3677, 0.4534)  0.00
Pd (0.3395, 0.9046, 0.6425)  -0.01
Bi (0.0890, 0.7997, 0.2873)  0.00
Bi (0.9110, 0.2003, 0.7127)  0.00
Ce (0.5000, 0.0000, 0.0000)  0.23

Computed properties:
The space group is P-1. The calculated density is 11.65 g/cm³. The calculation puts the energy of formation from the pure elements at -0.41 eV/atom. The calculation puts the volume at 18.26 Å³ per atom.

Entry 9:
VASP calculation (GGA-PBE) on a relaxed NdCdSb2 crystal.

a b c (Å): 4.5476 4.5476 7.3306
angles (deg): 71.93 71.93 60.00
Atoms (fractional coordinates):
Sb (0.2549, 0.2549, 0.2352)
Sb (0.7451, 0.7451, 0.7648)
Nd (0.5000, 0.5000, 0.5000)
Cd (0.0000, 0.0000, 0.0000)

Computed properties:
The space group is R-3m. The calculated density is 6.78 g/cm³. The calculation puts the volume at 30.65 Å³ per atom. For the polymorph energy (0 for the lowest one), the calculation gives 165 meV per atom. As for the uncorrected formation energy: -371 meV/atom.

Entry 10:
VASP calculation (GGA-PBE) on a relaxed Ba2PuGeS5 crystal.

a b c (Å): 4.3019 9.3060 12.8195
angles (deg): 90.00 90.00 103.36
Each line ends with the local moment (μB).
Atoms (fractional coordinates):
S (0.3220, 0.6439, 0.3801)  -0.04
S (0.4987, 0.9974, 0.7750)  0.01
S (0.9624, 0.9248, 0.5107)  -0.01
S (0.3477, 0.6955, 0.0111)  -0.04
S (0.2989, 0.5978, 0.6665)  -0.07
S (0.6523, 0.3045, 0.5111)  -0.04
S (0.0376, 0.0752, 0.0107)  -0.01
S (0.7011, 0.4022, 0.1665)  -0.07
S (0.5013, 0.0026, 0.2750)  0.01
S (0.6780, 0.3561, 0.8801)  -0.04
Pu (0.1995, 0.3990, 0.0285)  5.13
Pu (0.8005, 0.6010, 0.5285)  5.13
Ba (0.1200, 0.2400, 0.6861)  0.01
Ba (0.8800, 0.7600, 0.1861)  0.01
Ba (0.1276, 0.2553, 0.3322)  0.01
Ba (0.8724, 0.7447, 0.8322)  0.01
Ge (0.4472, 0.8944, 0.4338)  0.01
Ge (0.5528, 0.1056, 0.9338)  0.01

Computed properties:
The space group is Cmc2_1. The calculated density is 5.00 g/cm³. The calculation puts the volume at 27.74 Å³ per atom. As for the uncorrected formation energy: -1491 meV/atom.

Entry 11:
VASP calculation (GGA-PBE) on a relaxed Pt2Se crystal.

a b c (Å): 5.1035 5.1035 4.6907
angles (deg): 90.00 90.00 120.76
Atoms (fractional coordinates):
Pt (0.5234, 0.1685, 0.2500)
Pt (0.4766, 0.8315, 0.7500)
Pt (0.8315, 0.4766, 0.7500)
Pt (0.1685, 0.5234, 0.2500)
Se (0.2606, 0.2606, 0.7500)
Se (0.7394, 0.7394, 0.2500)

Computed properties:
The space group is Cmcm. The calculated density is 14.84 g/cm³. The calculation puts the volume at 17.50 Å³ per atom. For the polymorph energy (0 for the lowest one), the calculation gives 232 meV per atom. As for the uncorrected formation energy: 154 meV/atom.

Entry 12:
VASP calculation (GGA-PBE) on a relaxed TmGaPb crystal.

a b c (Å): 3.6157 3.6157 6.2691
angles (deg): 106.76 106.76 90.00
Atoms (fractional coordinates):
Ga (0.6188, 0.6188, 0.2377)
Tm (0.2660, 0.2660, 0.5320)
Pb (0.9652, 0.9652, 0.9303)

Computed properties:
The space group is I4mm. The calculated density is 9.89 g/cm³. The calculation puts the energy of formation from the pure elements at -0.21 eV/atom. The calculation puts the volume at 24.94 Å³ per atom. For the polymorph energy (0 for the lowest one), the calculation gives 138 meV per atom.